Compound: Al2SiAg
Source: the Open Quantum Materials Database
Functional: PBE
Structure: optimized geometry

a b c (Å): 4.593 4.593 4.593
angles (deg): 60.00 60.00 60.00
Fractional coordinates of all 4 atoms:
Al 0.000 0.000 0.000
Al 0.250 0.250 0.250
Si 0.500 0.500 0.500
Ag 0.750 0.750 0.750

Values from the calculation:
The space group is F-43m, No. 216. The total DFT energy (no corrections) is -14.6 eV for the cell shown.